A plane-wave DFT calculation with PBEsol was carried out for an optimized crystal structure of LaSi2Ir2.

a b c (Å): 4.1734 4.1734 9.9137
angles (deg): 90.00 90.00 90.00
Atoms (fractional coordinates):
Ir 0.5000 0.5000 0.0000
Ir 0.5000 0.0000 0.6270
Ir 0.0000 0.0000 0.0000
Ir 0.0000 0.5000 0.3730
La 0.0000 0.5000 0.7442
La 0.5000 0.0000 0.2558
Si 0.0000 0.0000 0.5000
Si 0.5000 0.0000 0.8718
Si 0.0000 0.5000 0.1282
Si 0.5000 0.5000 0.5000

theoretical density: 11.15 g/cm³
SG: P4/nmm
uncorrected formation energy: -1061 meV/atom
Fermi-level density of states: 2.8 states/eV/f.u.
energy: -83.584 eV for the cell shown
total moment: 0.000 μB per formula unit
calculated volume: 172.7 Å³ per cell



A plane-wave DFT calculation with PBEsol was carried out for an optimized crystal structure of LaSi2Ir.

a b c (Å): 4.0930 4.0930 5.7085
angles (deg): 68.99 68.99 60.00
Atoms (fractional coordinates):
La 0.5000 0.5000 0.5000
Ir 0.0000 0.0000 0.0000
Si 0.2917 0.2917 0.1250
Si 0.7083 0.7083 0.8750

theoretical density: 8.53 g/cm³
SG: R-3m
uncorrected formation energy: -968 meV/atom
Fermi-level density of states: 1.6 states/eV/f.u.
energy: -30.536 eV for the cell shown
total moment: 0.000 μB per formula unit
calculated volume: 75.4 Å³ per cell